Record 1
Entry from Alexandria: a relaxed structure of ZnCuNi (PBE).

Results
Energy ... -3.767 eV/atom
Energy of formation ... -1.1 kcal/mol of atoms
Magnetization ... 0.039 μB/atom

Cell lengths 2.6086, 2.6086, 6.2050 Å; angles 90.00, 90.00, 120.00 degrees
Space group P3m1 (No. 156)
One atom of each set of equivalent atoms:
Zn 0.0000 0.0000 0.0000 [1 per cell]
Cu 0.3333 0.6667 0.3463 [1 per cell]
Ni 0.6667 0.3333 0.6729 [1 per cell]

Record 2
Entry from Alexandria: a relaxed structure of BeCoOsW (PBE).

Results
Energy ... -8.786 eV/atom
Energy of formation ... -0.8 kcal/mol of atoms
Magnetization ... 0.251 μB/atom

Cell lengths 5.900, 5.900, 5.900 Å; angles 90.00, 90.00, 90.00 degrees
Space group F-43m (No. 216)
One atom of each set of equivalent atoms:
Be 0.000 0.000 0.000 [4 per cell]
Co 0.250 0.250 0.250 [4 per cell]
Os 0.250 0.250 0.750 [4 per cell]
W 0.000 0.000 0.500 [4 per cell]

Record 3
Entry from Alexandria: a relaxed structure of Pr2Tl3HgTe6 (PBE).

Results
Energy ... -3.678 eV/atom
Magnetization ... 0.000 μB/atom

Cell lengths 7.906, 13.680, 8.403 Å; angles 90.00, 109.17, 90.00 degrees
Space group C2/m (No. 12)
One atom of each set of equivalent atoms:
Pr 0.000 0.163 0.000 [4 per cell]
Tl 0.000 0.000 0.500 [2 per cell]
Tl 0.000 0.324 0.500 [4 per cell]
Hg 0.000 0.500 0.000 [2 per cell]
Te 0.235 0.338 0.221 [8 per cell]
Te 0.244 0.000 0.238 [4 per cell]

Record 4
Entry from Alexandria: a relaxed structure of MgAgIr (PBE).

Results
Energy ... -4.430 eV/atom
Energy of formation ... 0.1 kcal/mol of atoms
Magnetization ... 0.000 μB/atom

Cell lengths 2.8750, 2.8750, 6.8490 Å; angles 90.00, 90.00, 120.00 degrees
Space group P3m1 (No. 156)
One atom of each set of equivalent atoms:
Mg 0.0000 0.0000 0.0000 [1 per cell]
Ag 0.6667 0.3333 0.3447 [1 per cell]
Ir 0.3333 0.6667 0.6947 [1 per cell]

Record 5
Entry from Alexandria: a relaxed structure of TaTiIr2 (PBE).

Results
Energy ... -10.097 eV/atom
Energy of formation ... -16.8 kcal/mol of atoms
Magnetization ... 0.000 μB/atom

Cell lengths 2.932, 2.932, 7.247 Å; angles 90.00, 90.00, 90.00 degrees
Space group P4/mmm (No. 123)
One atom of each set of equivalent atoms:
Ta 0.000 0.000 0.000 [1 per cell]
Ti 0.000 0.000 0.500 [1 per cell]
Ir 0.500 0.500 0.273 [2 per cell]

Record 6
Entry from Alexandria: a relaxed structure of NaLi2AcP2 (PBE).

Results
Energy ... -4.241 eV/atom
Energy of formation ... -20.7 kcal/mol of atoms
Magnetization ... 0.000 μB/atom

Cell lengths 4.4107, 4.4107, 7.2524 Å; angles 90.00, 90.00, 120.00 degrees
Space group P-3m1 (No. 164)
One atom of each set of equivalent atoms:
Na 0.0000 0.0000 0.0000 [1 per cell]
Li 0.3333 0.6667 0.1465 [2 per cell]
Ac 0.0000 0.0000 0.5000 [1 per cell]
P 0.3333 0.6667 0.7588 [2 per cell]

Record 7
Entry from Alexandria: a relaxed structure of Cs2In2Sb3 (PBE).

Results
Energy ... -3.016 eV/atom
Magnetization ... 0.000 μB/atom

Cell lengths 5.077, 6.911, 9.360 Å; angles 92.37, 93.91, 105.78 degrees
Space group P-1 (No. 2)
One atom of each set of equivalent atoms:
Cs 0.172 0.271 0.357 [2 per cell]
In 0.340 0.707 0.018 [2 per cell]
Sb 0.000 0.000 0.000 [1 per cell]
Sb 0.204 0.358 0.796 [2 per cell]

Record 8
Entry from Alexandria: a relaxed structure of Sm2Zn5Cu3 (PBE).

Results
Energy ... -3.047 eV/atom
Energy of formation ... -5.5 kcal/mol of atoms
Magnetization ... 0.000 μB/atom

Cell lengths 4.400, 23.936, 6.696 Å; angles 90.00, 90.00, 90.00 degrees
Space group Cmc2_1 (No. 36)
One atom of each set of equivalent atoms:
Sm 0.000 0.017 0.000 [4 per cell]
Sm 0.000 0.325 0.042 [4 per cell]
Zn 0.000 0.106 0.326 [4 per cell]
Zn 0.000 0.203 0.866 [4 per cell]
Zn 0.000 0.211 0.248 [4 per cell]
Zn 0.000 0.374 0.508 [4 per cell]
Zn 0.000 0.447 0.195 [4 per cell]
Cu 0.000 0.107 0.717 [4 per cell]
Cu 0.000 0.269 0.562 [4 per cell]
Cu 0.000 0.446 0.797 [4 per cell]

Record 9
Entry from Alexandria: a relaxed structure of KZnCl (PBE).

Results
Energy ... -2.082 eV/atom
Magnetization ... 0.000 μB/atom

Cell lengths 7.611, 7.611, 7.611 Å; angles 90.00, 90.00, 90.00 degrees
Space group F-43m (No. 216)
One atom of each set of equivalent atoms:
K 0.000 0.000 0.000 [4 per cell]
Zn 0.250 0.250 0.250 [4 per cell]
Cl 0.000 0.000 0.500 [4 per cell]

Record 10
Entry from Alexandria: a relaxed structure of Mg2PbBr (PBE).

Results
Energy ... -2.268 eV/atom
Magnetization ... 0.000 μB/atom

Cell lengths 3.374, 5.551, 5.782 Å; angles 90.00, 90.00, 90.00 degrees
Space group Pmmm (No. 47)
One atom of each set of equivalent atoms:
Mg 0.000 0.000 0.000 [1 per cell]
Mg 0.500 0.000 0.500 [1 per cell]
Pb 0.000 0.500 0.500 [1 per cell]
Br 0.500 0.500 0.000 [1 per cell]

Record 11
Entry from Alexandria: a relaxed structure of NdSm2Cr2C4 (PBE).

Results
Energy ... -7.836 eV/atom
Energy of formation ... -0.5 kcal/mol of atoms
Magnetization ... 0.000 μB/atom

Cell lengths 13.870, 3.537, 5.909 Å; angles 90.00, 106.78, 90.00 degrees
Space group C2/m (No. 12)
One atom of each set of equivalent atoms:
Nd 0.000 0.000 0.000 [2 per cell]
Sm 0.140 0.000 0.550 [4 per cell]
Cr 0.184 0.500 0.008 [4 per cell]
C 0.067 0.500 0.770 [4 per cell]
C 0.214 0.000 0.170 [4 per cell]

Record 12
Entry from Alexandria: a relaxed structure of ZrCd3Pt (PBE).

Results
Energy ... -3.049 eV/atom
Energy of formation ... 9.6 kcal/mol of atoms
Magnetization ... 0.000 μB/atom

Cell lengths 5.066, 5.066, 5.066 Å; angles 90.00, 90.00, 90.00 degrees
Space group Pm-3m (No. 221)
One atom of each set of equivalent atoms:
Zr 0.000 0.000 0.000 [1 per cell]
Cd 0.000 0.500 0.500 [3 per cell]
Pt 0.500 0.500 0.500 [1 per cell]

Record 13
Entry from Alexandria: a relaxed structure of Pr2Ni3Sn2 (PBE).

Results
Energy ... -5.350 eV/atom
Energy of formation ... -8.4 kcal/mol of atoms
Magnetization ... 0.000 μB/atom

Cell lengths 8.536, 8.536, 8.536 Å; angles 90.00, 90.00, 90.00 degrees
Space group I2_13 (No. 199)
One atom of each set of equivalent atoms:
Pr 0.248 0.252 0.748 [8 per cell]
Ni 0.000 0.250 0.041 [12 per cell]
Sn 0.034 0.466 0.534 [8 per cell]

Record 14
Entry from Alexandria: a relaxed structure of RbRuPt2Se (PBE).

Results
Energy ... -3.960 eV/atom
Magnetization ... 0.535 μB/atom

Cell lengths 4.748, 4.748, 5.894 Å; angles 90.00, 90.00, 90.00 degrees
Space group P4/mmm (No. 123)
One atom of each set of equivalent atoms:
Rb 0.000 0.000 0.000 [1 per cell]
Ru 0.500 0.500 0.000 [1 per cell]
Pt 0.000 0.500 0.500 [2 per cell]
Se 0.000 0.000 0.500 [1 per cell]

Record 15
Entry from Alexandria: a relaxed structure of Ba3Zn2In9 (PBE).

Results
Energy ... -2.666 eV/atom
Energy of formation ... -7.2 kcal/mol of atoms
Magnetization ... 0.000 μB/atom

Cell lengths 5.023, 11.341, 14.333 Å; angles 90.00, 90.00, 90.00 degrees
Space group Immm (No. 71)
One atom of each set of equivalent atoms:
Ba 0.000 0.000 0.000 [2 per cell]
Ba 0.000 0.000 0.312 [4 per cell]
Zn 0.000 0.196 0.500 [4 per cell]
In 0.000 0.278 0.140 [8 per cell]
In 0.000 0.366 0.345 [8 per cell]
In 0.000 0.500 0.000 [2 per cell]

Record 16
Entry from Alexandria: a relaxed structure of Pu3Se3Cl (PBE).

Results
Energy ... -9.500 eV/atom
Magnetization ... 2.429 μB/atom

Cell lengths 11.729, 11.729, 11.729 Å; angles 90.00, 90.00, 90.00 degrees
Space group I-43m (No. 217)
One atom of each set of equivalent atoms:
Pu 0.125 0.125 0.626 [24 per cell]
Se 0.124 0.375 0.625 [24 per cell]
Cl 0.135 0.135 0.865 [8 per cell]

Record 17
Entry from Alexandria: a relaxed structure of HfInAu (PBE).

Results
Energy ... -5.652 eV/atom
Energy of formation ... -7.6 kcal/mol of atoms
Magnetization ... 0.000 μB/atom

Cell lengths 3.430, 3.453, 11.306 Å; angles 81.27, 89.93, 90.00 degrees
Space group P-1 (No. 2)
One atom of each set of equivalent atoms:
Hf 0.250 0.208 0.085 [2 per cell]
In 0.250 0.058 0.387 [2 per cell]
Au 0.251 0.361 0.777 [2 per cell]

Record 18
Entry from Alexandria: a relaxed structure of ScTlF4 (PBE).

Results
Energy ... -5.815 eV/atom
Magnetization ... 0.000 μB/atom

Cell lengths 3.665, 3.665, 6.684 Å; angles 90.00, 90.00, 90.00 degrees
Space group P4/mmm (No. 123)
One atom of each set of equivalent atoms:
Sc 0.000 0.000 0.000 [1 per cell]
Tl 0.500 0.500 0.500 [1 per cell]
F 0.000 0.500 0.179 [4 per cell]